Entry 1:
{
  "formula": "K3Ce2YS6",
  "functional": "GGA-PBE",
  "state": "relaxed",
  "lattice": [[3.608, -6.249, 0.000], [3.608, 6.249, 0.000], [-2.407, 0.000, 7.361]],
  "species": ["K", "K", "K", "Ce", "Ce", "Y", "S", "S", "S", "S", "S", "S"],
  "fractional_positions": [[0.000, 0.000, 0.000], [0.333, 0.667, 0.000], [0.667, 0.333, 0.000], [0.167, 0.833, 0.500], [0.833, 0.167, 0.500], [0.500, 0.500, 0.500], [0.106, 0.432, 0.295], [0.242, 0.242, 0.705], [0.432, 0.106, 0.295], [0.568, 0.894, 0.705], [0.758, 0.758, 0.295], [0.894, 0.568, 0.705]],
  "raw_formation_energy_ev_per_atom": -1.8198,
  "dos_at_fermi_per_ev_atom": 0.98
}

=====

Entry 2:
{
  "formula": "Tb5DyYHo2",
  "functional": "GGA-PBE",
  "state": "relaxed",
  "lattice": [[2.798, -9.977, 0.000], [2.798, 9.977, 0.000], [0.000, 0.000, 10.535]],
  "species": ["Tb", "Tb", "Tb", "Tb", "Tb", "Tb", "Tb", "Tb", "Tb", "Tb", "Dy", "Dy", "Y", "Y", "Ho", "Ho", "Ho", "Ho"],
  "fractional_positions": [[0.017, 0.983, 0.500], [0.280, 0.720, 0.787], [0.300, 0.700, 0.186], [0.389, 0.611, 0.501], [0.479, 0.521, 0.217], [0.521, 0.479, 0.717], [0.611, 0.389, 0.001], [0.700, 0.300, 0.686], [0.720, 0.280, 0.287], [0.983, 0.017, 0.000], [0.199, 0.801, 0.489], [0.801, 0.199, 0.989], [0.412, 0.588, 0.933], [0.588, 0.412, 0.433], [0.111, 0.889, 0.214], [0.114, 0.886, 0.794], [0.886, 0.114, 0.294], [0.889, 0.111, 0.714]],
  "formation_enthalpy_0k_mev_per_atom": 158,
  "dos_at_fermi_per_ev_atom": 1.65
}

=====

Entry 3:
{
  "formula": "Ho3Mg2",
  "functional": "GGA-PBE",
  "state": "relaxed",
  "lattice": [[3.710, 0.000, 0.000], [0.000, 3.710, 0.000], [0.000, 0.000, 20.212]],
  "species": ["Ho", "Ho", "Ho", "Ho", "Ho", "Ho", "Mg", "Mg", "Mg", "Mg"],
  "fractional_positions": [[0.000, 0.000, 0.000], [0.000, 0.000, 0.190], [0.000, 0.000, 0.383], [0.000, 0.000, 0.617], [0.000, 0.000, 0.810], [0.500, 0.500, 0.500], [0.500, 0.500, 0.095], [0.500, 0.500, 0.285], [0.500, 0.500, 0.715], [0.500, 0.500, 0.905]],
  "e_above_lowest_polymorph_mev_per_atom": 0,
  "formation_enthalpy_0k_mev_per_atom": -43,
  "dos_at_fermi_per_ev_atom": 1.59
}

=====

Entry 4:
{
  "formula": "La2Zn3AgGe4",
  "functional": "GGA-PBE",
  "state": "relaxed",
  "lattice": [[4.439, 0.000, 0.000], [0.000, 4.439, 0.000], [0.000, 0.000, 10.432]],
  "species": ["La", "La", "Zn", "Zn", "Zn", "Ag", "Ge", "Ge", "Ge", "Ge"],
  "fractional_positions": [[0.000, 0.500, 0.244], [0.500, 0.000, 0.756], [0.000, 0.500, 0.875], [0.500, 0.000, 0.125], [0.500, 0.500, 0.500], [0.000, 0.000, 0.500], [0.000, 0.000, 0.000], [0.000, 0.500, 0.641], [0.500, 0.000, 0.359], [0.500, 0.500, 0.000]],
  "formation_enthalpy_0k_mev_per_atom": -467,
  "dos_at_fermi_per_ev_atom": 0.22
}

=====

Entry 5:
{
  "formula": "Ta2RhI",
  "functional": "GGA-PBE",
  "state": "relaxed",
  "lattice": [[0.000, 3.312, 3.312], [3.312, 0.000, 3.312], [3.312, 3.312, 0.000]],
  "species": ["Ta", "Ta", "Rh", "I"],
  "fractional_positions": [[0.250, 0.250, 0.250], [0.750, 0.750, 0.750], [0.000, 0.000, 0.000], [0.500, 0.500, 0.500]],
  "e_above_lowest_polymorph_mev_per_atom": 0,
  "raw_formation_energy_ev_per_atom": 0.5353,
  "dos_at_fermi_per_ev_atom": 1.13
}

=====

Entry 6:
{
  "formula": "CsLaSe2",
  "functional": "GGA-PBE",
  "state": "relaxed",
  "lattice": [[4.530, 0.000, 0.000], [-2.265, 3.923, 0.000], [0.000, 0.000, 8.996]],
  "species": ["Cs", "La", "Se", "Se"],
  "fractional_positions": [[0.000, 0.000, 0.000], [0.667, 0.333, 0.549], [0.000, 0.000, 0.386], [0.333, 0.667, 0.736]],
  "raw_formation_energy_ev_per_atom": -1.7289,
  "dos_at_fermi_per_ev_atom": 0.00
}

=====

Entry 7:
{
  "formula": "ZrAl2Cu",
  "functional": "GGA-PBE",
  "state": "relaxed",
  "lattice": [[2.904, -4.196, 0.000], [2.904, 4.196, 0.000], [-0.010, 0.000, 2.838]],
  "species": ["Zr", "Al", "Al", "Cu"],
  "fractional_positions": [[0.000, 0.000, 0.000], [0.000, 0.500, 0.500], [0.500, 0.000, 0.500], [0.500, 0.500, 0.000]],
  "formation_enthalpy_0k_mev_per_atom": -187,
  "dos_at_fermi_per_ev_atom": 0.56
}

=====

Entry 8:
{
  "formula": "Li2SiS",
  "functional": "GGA-PBE",
  "state": "relaxed",
  "lattice": [[3.923, 0.000, 0.000], [-1.962, 3.398, 0.000], [0.000, 0.000, 10.536]],
  "species": ["Li", "Li", "Li", "Li", "Si", "Si", "S", "S"],
  "fractional_positions": [[0.000, 0.000, 0.000], [0.000, 0.000, 0.495], [0.333, 0.667, 0.167], [0.667, 0.333, 0.337], [0.000, 0.000, 0.755], [0.667, 0.333, 0.832], [0.333, 0.667, 0.393], [0.667, 0.333, 0.069]],
  "e_above_lowest_polymorph_mev_per_atom": 0,
  "raw_formation_energy_ev_per_atom": -0.8294,
  "dos_at_fermi_per_ev_atom": 0.00
}

=====

Entry 9:
{
  "formula": "Rb4TlSn3Cl12",
  "functional": "GGA-PBE",
  "state": "relaxed",
  "lattice": [[-5.591, 5.591, 5.591], [5.591, -5.591, 5.591], [5.591, 5.591, -5.591]],
  "species": ["Rb", "Rb", "Rb", "Rb", "Tl", "Sn", "Sn", "Sn", "Cl", "Cl", "Cl", "Cl", "Cl", "Cl", "Cl", "Cl", "Cl", "Cl", "Cl", "Cl"],
  "fractional_positions": [[0.000, 0.000, 0.500], [0.000, 0.500, 0.000], [0.500, 0.000, 0.000], [0.500, 0.500, 0.500], [0.000, 0.000, 0.000], [0.000, 0.500, 0.500], [0.500, 0.000, 0.500], [0.500, 0.500, 0.000], [0.000, 0.260, 0.260], [0.000, 0.740, 0.740], [0.250, 0.500, 0.750], [0.250, 0.750, 0.500], [0.260, 0.000, 0.260], [0.260, 0.260, 0.000], [0.500, 0.250, 0.750], [0.500, 0.750, 0.250], [0.740, 0.000, 0.740], [0.740, 0.740, 0.000], [0.750, 0.250, 0.500], [0.750, 0.500, 0.250]],
  "raw_formation_energy_ev_per_atom": -1.3672,
  "dos_at_fermi_per_ev_atom": 0.26
}

=====

Entry 10:
{
  "formula": "Tb4CeY5",
  "functional": "GGA-PBE",
  "state": "relaxed",
  "lattice": [[8.909, -1.745, 0.000], [8.909, 1.745, 0.000], [-3.217, 0.000, 10.380]],
  "species": ["Tb", "Tb", "Tb", "Tb", "Ce", "Y", "Y", "Y", "Y", "Y"],
  "fractional_positions": [[0.093, 0.093, 0.308], [0.304, 0.304, 0.418], [0.696, 0.696, 0.582], [0.907, 0.907, 0.692], [0.500, 0.500, 0.500], [0.105, 0.105, 0.786], [0.206, 0.206, 0.100], [0.500, 0.500, 0.000], [0.794, 0.794, 0.900], [0.895, 0.895, 0.214]],
  "e_above_lowest_polymorph_mev_per_atom": 0,
  "formation_enthalpy_0k_mev_per_atom": 108,
  "dos_at_fermi_per_ev_atom": 1.83
}

=====

Entry 11:
{
  "formula": "Sc4AlZnO",
  "functional": "GGA-PBE",
  "state": "relaxed",
  "lattice": [[3.032, -7.248, 0.000], [3.032, 7.248, 0.000], [0.000, 0.000, 6.066]],
  "species": ["Sc", "Sc", "Sc", "Sc", "Sc", "Sc", "Sc", "Sc", "Al", "Al", "Zn", "Zn", "O", "O"],
  "fractional_positions": [[0.000, 0.500, 0.000], [0.000, 0.500, 0.500], [0.078, 0.922, 0.750], [0.415, 0.585, 0.750], [0.500, 0.000, 0.000], [0.500, 0.000, 0.500], [0.585, 0.415, 0.250], [0.922, 0.078, 0.250], [0.387, 0.613, 0.250], [0.613, 0.387, 0.750], [0.118, 0.882, 0.250], [0.882, 0.118, 0.750], [0.249, 0.751, 0.750], [0.751, 0.249, 0.250]],
  "raw_formation_energy_ev_per_atom": -1.0046,
  "dos_at_fermi_per_ev_atom": 0.73
}

=====

Entry 12:
{
  "formula": "Ta3FePd",
  "functional": "GGA-PBE",
  "state": "relaxed",
  "lattice": [[4.543, 0.000, 0.000], [0.000, 4.543, 0.000], [0.000, 0.000, 4.543]],
  "species": ["Ta", "Ta", "Ta", "Fe", "Pd"],
  "fractional_positions": [[0.000, 0.000, 0.500], [0.000, 0.500, 0.000], [0.500, 0.000, 0.000], [0.000, 0.000, 0.000], [0.500, 0.500, 0.500]],
  "e_above_lowest_polymorph_mev_per_atom": 0,
  "formation_enthalpy_0k_mev_per_atom": 655,
  "dos_at_fermi_per_ev_atom": 1.17
}